## NiMoNO2 (PBE+U)

Data for an optimized crystal structure of NiMoNO2.

The structure belongs to space group P4/mmm (No. 123); the cell edges are 3.730, 3.730 and 3.770 Å and the angles 90.00°, 90.00° and 90.00°. The asymmetric unit holds Ni at (0.000, 0.000, 0.000), Mo at (0.500, 0.500, 0.500), N at (0.000, 0.000, 0.500) and O at (0.000, 0.500, 0.000).

The value obtained for the uncorrected energy is -5.280 eV/atom. Its density is 6.4 g cm⁻³. The magnetization comes out at 0.60 μB/atom.